A plane-wave DFT calculation with PBE was carried out for an optimized crystal structure of Y2Co2Br.

## Properties
Total DFT energy (no corrections) = -5.75 eV per atom

a = 5.2756 Å, b = 5.2756 Å, c = 7.5096 Å
α = 90.00°, β = 90.00°, γ = 90.00°
Last column: nearest neighbours and their distance in Å.
Fractional coordinates of all 10 atoms:
Y (0.0000, 0.5000, 0.2500)  4 Co 2.75
Y (0.0000, 0.5000, 0.7500)  4 Co 2.75
Y (0.5000, 0.0000, 0.2500)  4 Co 2.75
Y (0.5000, 0.0000, 0.7500)  4 Co 2.75
Co (0.0000, 0.0000, 0.1482)  1 Co 2.23
Co (0.0000, 0.0000, 0.8518)  1 Co 2.23
Co (0.5000, 0.5000, 0.3518)  1 Co 2.23
Co (0.5000, 0.5000, 0.6482)  1 Co 2.23
Br (0.0000, 0.0000, 0.5000)  2 Co 2.64
Br (0.5000, 0.5000, 0.0000)  2 Co 2.64